Entry 1:
{
  "formula": "FePbSe",
  "functional": "meta-GGA SCAN",
  "state": "PBEsol geometry",
  "relative_energy_ev_per_atom": 0.542,
  "sg": "F-43m, No. 216",
  "e_form_raw_ev_per_atom": 0.720,
  "lattice": [[0.000, 3.353, 3.353], [3.353, 0.000, 3.353], [3.353, 3.353, 0.000]],
  "species": ["Fe", "Pb", "Se"],
  "frac_coords": [[0.000, 0.000, 0.000], [0.250, 0.250, 0.250], [0.500, 0.500, 0.500]]
}

***

Entry 2:
{
  "formula": "FePbSe2",
  "functional": "meta-GGA SCAN",
  "state": "PBEsol geometry",
  "sg": "F-43m, No. 216",
  "e_form_raw_ev_per_atom": 0.568,
  "lattice": [[0.000, 3.432, 3.432], [3.432, 0.000, 3.432], [3.432, 3.432, 0.000]],
  "species": ["Fe", "Pb", "Se", "Se"],
  "frac_coords": [[0.000, 0.000, 0.000], [0.750, 0.750, 0.750], [0.250, 0.250, 0.250], [0.500, 0.500, 0.500]]
}

***

Entry 3:
{
  "formula": "FePbSe2",
  "functional": "meta-GGA SCAN",
  "state": "PBEsol geometry",
  "sg": "Amm2, No. 38",
  "e_form_raw_ev_per_atom": -0.212,
  "lattice": [[4.216, 0.000, 0.000], [0.000, 2.138, 5.572], [0.000, -2.138, 5.572]],
  "species": ["Fe", "Pb", "Se", "Se"],
  "frac_coords": [[0.000, 0.000, 0.000], [0.500, 0.369, 0.369], [0.000, 0.795, 0.795], [0.500, 0.095, 0.095]]
}

***

Entry 4:
{
  "formula": "FePbSe2",
  "functional": "meta-GGA SCAN",
  "state": "PBEsol geometry",
  "sg": "I-4m2, No. 119",
  "e_form_raw_ev_per_atom": 0.299,
  "lattice": [[-2.011, 2.011, 5.382], [2.011, -2.011, 5.382], [2.011, 2.011, -5.382]],
  "species": ["Fe", "Pb", "Se", "Se"],
  "frac_coords": [[0.000, 0.000, 0.000], [0.750, 0.250, 0.500], [0.250, 0.750, 0.500], [0.500, 0.500, 0.000]]
}

***

Entry 5:
{
  "formula": "FePbSe2",
  "functional": "meta-GGA SCAN",
  "state": "PBEsol geometry",
  "sg": "R-3m, No. 166",
  "e_form_raw_ev_per_atom": -0.225,
  "lattice": [[1.714, 0.989, 8.625], [-1.714, 0.989, 8.625], [0.000, -1.979, 8.625]],
  "species": ["Fe", "Pb", "Se", "Se"],
  "frac_coords": [[0.000, 0.000, 0.000], [0.500, 0.500, 0.500], [0.383, 0.383, 0.383], [0.617, 0.617, 0.617]]
}

***

Entry 6:
{
  "formula": "FePbSe",
  "functional": "meta-GGA SCAN",
  "state": "PBEsol geometry",
  "relative_energy_ev_per_atom": 0.000,
  "sg": "I4mm, No. 107",
  "e_form_raw_ev_per_atom": 0.178,
  "lattice": [[-1.529, 1.529, 6.245], [1.529, -1.529, 6.245], [1.529, 1.529, -6.245]],
  "species": ["Fe", "Pb", "Se"],
  "frac_coords": [[0.000, 0.000, 0.000], [0.330, 0.330, 0.000], [0.585, 0.585, 0.000]]
}

***

Entry 7:
{
  "formula": "FePbSe3",
  "functional": "meta-GGA SCAN",
  "state": "PBEsol geometry",
  "sg": "Pm-3m, No. 221",
  "e_form_raw_ev_per_atom": 0.957,
  "lattice": [[5.299, 0.000, 0.000], [0.000, 5.299, 0.000], [0.000, 0.000, 5.299]],
  "species": ["Fe", "Pb", "Se", "Se", "Se"],
  "frac_coords": [[0.000, 0.000, 0.000], [0.500, 0.500, 0.500], [0.000, 0.500, 0.500], [0.500, 0.000, 0.500], [0.500, 0.500, 0.000]]
}

***

Entry 8:
{
  "formula": "FePbSe2",
  "functional": "meta-GGA SCAN",
  "state": "PBEsol geometry",
  "sg": "P4mm, No. 99",
  "e_form_raw_ev_per_atom": 0.234,
  "lattice": [[3.020, 0.000, 0.000], [0.000, 3.020, 0.000], [0.000, 0.000, 8.812]],
  "species": ["Fe", "Pb", "Se", "Se"],
  "frac_coords": [[0.000, 0.000, 0.000], [0.500, 0.500, 0.244], [0.000, 0.000, 0.542], [0.500, 0.500, 0.880]]
}

***

Entry 9:
{
  "formula": "FeSiPb2",
  "functional": "meta-GGA SCAN",
  "state": "PBEsol geometry",
  "sg": "R3m, No. 160",
  "e_form_raw_ev_per_atom": 0.387,
  "lattice": [[1.673, 0.966, 8.625], [-1.673, 0.966, 8.625], [0.000, -1.932, 8.625]],
  "species": ["Fe", "Si", "Pb", "Pb"],
  "frac_coords": [[0.000, 0.000, 0.000], [0.288, 0.288, 0.288], [0.526, 0.526, 0.526], [0.746, 0.746, 0.746]]
}

***

Entry 10:
{
  "formula": "FeSiPb2",
  "functional": "meta-GGA SCAN",
  "state": "PBEsol geometry",
  "sg": "P4mm, No. 99",
  "e_form_raw_ev_per_atom": 0.249,
  "lattice": [[3.123, 0.000, 0.000], [0.000, 3.123, 0.000], [0.000, 0.000, 8.261]],
  "species": ["Fe", "Si", "Pb", "Pb"],
  "frac_coords": [[0.000, 0.000, 0.000], [0.500, 0.500, 0.906], [0.000, 0.000, 0.639], [0.500, 0.500, 0.257]]
}

***

Entry 11:
{
  "formula": "FeSiPb",
  "functional": "meta-GGA SCAN",
  "state": "PBEsol geometry",
  "sg": "F-43m, No. 216",
  "e_form_raw_ev_per_atom": 0.509,
  "lattice": [[0.000, 2.971, 2.971], [2.971, 0.000, 2.971], [2.971, 2.971, 0.000]],
  "species": ["Fe", "Si", "Pb"],
  "frac_coords": [[0.000, 0.000, 0.000], [0.750, 0.750, 0.750], [0.250, 0.250, 0.250]]
}

***

Entry 12:
{
  "formula": "FeSi2Pb",
  "functional": "meta-GGA SCAN",
  "state": "PBEsol geometry",
  "sg": "I-4m2, No. 119",
  "e_form_raw_ev_per_atom": 0.865,
  "lattice": [[-2.105, 2.105, 3.818], [2.105, -2.105, 3.818], [2.105, 2.105, -3.818]],
  "species": ["Fe", "Si", "Si", "Pb"],
  "frac_coords": [[0.000, 0.000, 0.000], [0.250, 0.750, 0.500], [0.500, 0.500, 0.000], [0.750, 0.250, 0.500]]
}

***

Entry 13:
{
  "formula": "TaFePb2",
  "functional": "meta-GGA SCAN",
  "state": "PBEsol geometry",
  "relative_energy_ev_per_atom": 0.000,
  "formation_enthalpy_0k_ev_per_atom": 0.51,
  "sg": "Cm, No. 8",
  "lattice": [[5.335, -1.562, 0.000], [5.335, 1.562, 0.000], [-1.877, 0.000, 4.853]],
  "species": ["Ta", "Fe", "Pb", "Pb"],
  "frac_coords": [[0.000, 0.000, 0.000], [0.326, 0.326, 0.708], [0.563, 0.563, 0.546], [0.771, 0.771, 0.183]]
}

***

Entry 14:
{
  "formula": "TaFePb",
  "functional": "meta-GGA SCAN",
  "state": "PBEsol geometry",
  "formation_enthalpy_0k_ev_per_atom": 0.27,
  "sg": "F-43m, No. 216",
  "lattice": [[0.000, 3.013, 3.013], [3.013, 0.000, 3.013], [3.013, 3.013, 0.000]],
  "species": ["Ta", "Fe", "Pb"],
  "frac_coords": [[0.000, 0.000, 0.000], [0.250, 0.250, 0.250], [0.500, 0.500, 0.500]]
}

***

Entry 15:
{
  "formula": "TaFe3Pb",
  "functional": "meta-GGA SCAN",
  "state": "PBEsol geometry",
  "formation_enthalpy_0k_ev_per_atom": 1.89,
  "sg": "Pm-3m, No. 221",
  "lattice": [[4.632, 0.000, 0.000], [0.000, 4.632, 0.000], [0.000, 0.000, 4.632]],
  "species": ["Ta", "Fe", "Fe", "Fe", "Pb"],
  "frac_coords": [[0.000, 0.000, 0.000], [0.000, 0.500, 0.500], [0.500, 0.000, 0.500], [0.500, 0.500, 0.000], [0.500, 0.500, 0.500]]
}

***

Entry 16:
{
  "formula": "Ta2FePb",
  "functional": "meta-GGA SCAN",
  "state": "PBEsol geometry",
  "formation_enthalpy_0k_ev_per_atom": 0.28,
  "sg": "P4/mmm, No. 123",
  "lattice": [[2.976, 0.000, 0.000], [0.000, 2.976, 0.000], [0.000, 0.000, 7.853]],
  "species": ["Ta", "Ta", "Fe", "Pb"],
  "frac_coords": [[0.000, 0.000, 0.196], [0.000, 0.000, 0.804], [0.500, 0.500, 0.000], [0.500, 0.500, 0.500]]
}

***

Entry 17:
{
  "formula": "TaFePb2",
  "functional": "meta-GGA SCAN",
  "state": "PBEsol geometry",
  "relative_energy_ev_per_atom": 0.220,
  "formation_enthalpy_0k_ev_per_atom": 0.73,
  "sg": "P4/mmm, No. 123",
  "lattice": [[4.855, 0.000, 0.000], [0.000, 4.855, 0.000], [0.000, 0.000, 3.289]],
  "species": ["Ta", "Fe", "Pb", "Pb"],
  "frac_coords": [[0.000, 0.000, 0.000], [0.500, 0.500, 0.000], [0.000, 0.500, 0.500], [0.500, 0.000, 0.500]]
}

***

Entry 18:
{
  "formula": "Ta2FePb",
  "functional": "meta-GGA SCAN",
  "state": "PBEsol geometry",
  "formation_enthalpy_0k_ev_per_atom": 0.44,
  "sg": "R-3m, No. 166",
  "lattice": [[1.704, 0.984, 7.555], [-1.704, 0.984, 7.555], [0.000, -1.968, 7.555]],
  "species": ["Ta", "Ta", "Fe", "Pb"],
  "frac_coords": [[0.225, 0.225, 0.225], [0.775, 0.775, 0.775], [0.500, 0.500, 0.500], [0.000, 0.000, 0.000]]
}

***

Entry 19:
{
  "formula": "TaFe2Pb",
  "functional": "meta-GGA SCAN",
  "state": "PBEsol geometry",
  "formation_enthalpy_0k_ev_per_atom": 0.53,
  "sg": "R-3m, No. 166",
  "lattice": [[1.542, 0.890, 7.915], [-1.542, 0.890, 7.915], [0.000, -1.780, 7.915]],
  "species": ["Ta", "Fe", "Fe", "Pb"],
  "frac_coords": [[0.000, 0.000, 0.000], [0.258, 0.258, 0.258], [0.742, 0.742, 0.742], [0.500, 0.500, 0.500]]
}

***

Entry 20:
{
  "formula": "TaFePb2",
  "functional": "meta-GGA SCAN",
  "state": "PBEsol geometry",
  "relative_energy_ev_per_atom": 0.215,
  "formation_enthalpy_0k_ev_per_atom": 0.73,
  "sg": "C2/m, No. 12",
  "lattice": [[5.296, -1.638, 0.000], [5.296, 1.638, 0.000], [-2.538, 0.000, 4.530]],
  "species": ["Ta", "Fe", "Pb", "Pb"],
  "frac_coords": [[0.000, 0.000, 0.000], [0.500, 0.500, 0.500], [0.226, 0.226, 0.726], [0.774, 0.774, 0.274]]
}

***

Final energy: -37.276; -32.949; -33.729; -33.218; -33.742; -37.818; -29.872; -33.282; -44.539; -44.678; -34.134; -27.621; -58.558; -53.233; -37.458; -56.488; -58.337; -56.329; -44.128; -58.343 (eV per atom)